[1]
Here is crystalline KCa2Co at its relaxed geometry from Alexandria. Energies are from PBE.

Cell and atoms, written as extended XYZ:
```
4
Lattice="3.951 0.000 0.000 0.000 3.978 0.000 0.000 0.000 9.266" Properties=species:S:1:pos:R:3 pbc="T T T"
K 0.000 0.000 0.000
Ca 0.000 0.000 3.478
Ca 1.976 1.989 5.812
Co 1.976 1.989 2.853
```

Polymorph energy (0 for the lowest one) = 0.63 eV/f.u.
Electronic total energy = -10.41 eV per formula unit
ΔE_f = 0.4487 eV/atom
Symmetry = No. 25
Volume = 146 Å³ per cell


[2]
Here is crystalline MgZr2Zn at its relaxed geometry from Alexandria. Energies are from PBE.

Cell and atoms, written as extended XYZ:
```
4
Lattice="3.196 0.000 0.000 0.000 4.417 0.000 -1.578 0.000 5.877" Properties=species:S:1:pos:R:3 pbc="T T T"
Mg 0.000 0.000 0.000
Zr 0.017 2.208 4.455
Zr 1.612 0.000 2.780
Zn 0.013 2.208 1.539
```

Polymorph energy (0 for the lowest one) = 0.30 eV/f.u.
Electronic total energy = -20.11 eV per formula unit
ΔE_f = -0.0370 eV/atom
Symmetry = No. 6
Volume = 83 Å³ per cell


[3]
Here is crystalline Zr2PdAu2 at its relaxed geometry from Alexandria. Energies are from PBE.

Cell and atoms, written as extended XYZ:
```
5
Lattice="2.399 -6.696 0.000 2.399 6.696 0.000 0.000 0.000 2.998" Properties=species:S:1:pos:R:3 pbc="T T T"
Zr 2.399 5.067 0.000
Zr 2.399 -5.067 0.000
Pd 2.399 0.000 0.000
Au 2.399 2.508 1.499
Au 2.399 -2.508 1.499
```

Polymorph energy (0 for the lowest one) = 0.22 eV/f.u.
Electronic total energy = -30.98 eV per formula unit
ΔE_f = -0.4263 eV/atom
Symmetry = No. 65
Volume = 96 Å³ per cell


[4]
Here is crystalline Tl2CuSbF6 at its relaxed geometry from Alexandria. Energies are from PBE.

Cell and atoms, written as extended XYZ:
```
10
Lattice="-3.299 3.299 4.186 3.299 -3.299 4.186 3.299 3.299 -4.186" Properties=species:S:1:pos:R:3 pbc="T T T"
Tl 3.299 0.000 2.093
Tl 0.000 3.299 2.093
Cu 0.000 0.000 0.000
Sb 0.000 0.000 4.186
F 0.000 0.000 1.953
F 1.747 1.739 0.000
F 1.559 -1.551 4.186
F 1.739 4.850 0.000
F 1.551 1.559 4.186
F 0.000 0.000 6.420
```

Electronic total energy = -42.27 eV per formula unit
E_form (uncorrected) = -1809 meV/atom
Symmetry = No. 87
Volume = 182 Å³ per cell